# 1
AcTb5Cd6 | PBE | optimized geometry

a b c (Å): 9.322 9.322 9.322
angles (deg): 146.56 131.26 60.40
Atoms (fractional coordinates):
Ac1 0.000 0.000 0.000
Tb1 0.162 0.662 0.500
Tb2 0.330 0.330 0.000
Tb3 0.500 0.000 0.500
Tb4 0.670 0.670 0.000
Tb5 0.838 0.338 0.500
Cd1 0.091 0.827 0.264
Cd2 0.275 0.500 0.775
Cd3 0.437 0.173 0.264
Cd4 0.563 0.827 0.736
Cd5 0.725 0.500 0.225
Cd6 0.909 0.173 0.736

Energy of formation   -0.294 eV per atom
DFT total energy   -3.02 eV per atom


# 2
Pm3Pr3Er5 | PBE | optimized geometry

a b c (Å): 9.639 9.639 5.582
angles (deg): 90.00 90.00 120.00
Atoms (fractional coordinates):
Pm1 0.000 0.463 0.000
Pm2 0.463 0.000 0.000
Pm3 0.537 0.537 0.000
Pr1 0.000 0.633 0.500
Pr2 0.367 0.367 0.500
Pr3 0.633 0.000 0.500
Er1 0.000 0.270 0.500
Er2 0.270 0.000 0.500
Er3 0.333 0.667 0.500
Er4 0.667 0.333 0.500
Er5 0.730 0.730 0.500

Energy of formation   0.772 eV per atom
DFT total energy   -3.90 eV per atom


# 3
NaAcGePt | PBE | optimized geometry

a b c (Å): 7.349 7.349 7.349
angles (deg): 90.00 90.00 90.00
Atoms (fractional coordinates):
Na1 0.000 0.000 0.000
Na2 0.000 0.500 0.500
Na3 0.500 0.000 0.500
Na4 0.500 0.500 0.000
Ac1 0.000 0.000 0.500
Ac2 0.000 0.500 0.000
Ac3 0.500 0.000 0.000
Ac4 0.500 0.500 0.500
Ge1 0.250 0.250 0.250
Ge2 0.250 0.750 0.750
Ge3 0.750 0.250 0.750
Ge4 0.750 0.750 0.250
Pt1 0.250 0.250 0.750
Pt2 0.250 0.750 0.250
Pt3 0.750 0.250 0.250
Pt4 0.750 0.750 0.750

Energy of formation   -0.409 eV per atom
DFT total energy   -4.43 eV per atom


# 4
LiSmIn2 | PBE | optimized geometry

a b c (Å): 3.574 3.574 7.428
angles (deg): 90.00 90.00 90.00
Atoms (fractional coordinates):
Li1 0.000 0.000 0.000
Sm1 0.000 0.000 0.500
In1 0.500 0.500 0.207
In2 0.500 0.500 0.793

Energy of formation   -0.404 eV per atom
DFT total energy   -3.43 eV per atom


# 5
Sr2TaMn | PBE | optimized geometry

a b c (Å): 3.302 3.302 10.157
angles (deg): 90.00 90.00 90.00
Atoms (fractional coordinates):
Sr1 0.000 0.000 0.249
Sr2 0.000 0.000 0.751
Ta1 0.500 0.500 0.000
Mn1 0.500 0.500 0.500

Energy of formation   1.019 eV per atom
DFT total energy   -5.08 eV per atom
E above lowest polymorph   543.5 meV/atom


# 6
MoHI2N | PBE | optimized geometry

a b c (Å): 5.341 5.341 3.121
angles (deg): 90.00 90.00 90.00
Atoms (fractional coordinates):
Mo1 0.000 0.000 0.000
H1 0.500 0.500 0.500
I1 0.000 0.500 0.500
I2 0.500 0.000 0.500
N1 0.500 0.500 0.000

DFT total energy   -3.57 eV per atom
E above lowest polymorph   924.3 meV/atom


# 7
Ca2NiW | PBE | optimized geometry

a b c (Å): 2.925 4.698 5.927
angles (deg): 90.00 95.45 90.00
Atoms (fractional coordinates):
Ca1 0.037 0.000 0.254
Ca2 0.963 0.000 0.746
Ni1 0.500 0.500 0.500
W1 0.500 0.500 0.000

Energy of formation   0.844 eV per atom
DFT total energy   -4.84 eV per atom
E above lowest polymorph   453.8 meV/atom


# 8
Si2Tc4N | PBE | optimized geometry

a b c (Å): 3.944 3.944 12.413
angles (deg): 90.00 90.00 90.00
Atoms (fractional coordinates):
Si1 0.000 0.000 0.137
Si2 0.000 0.000 0.863
Si3 0.500 0.500 0.363
Si4 0.500 0.500 0.637
Tc1 0.000 0.000 0.330
Tc2 0.000 0.000 0.670
Tc3 0.000 0.500 0.000
Tc4 0.000 0.500 0.500
Tc5 0.500 0.000 0.000
Tc6 0.500 0.000 0.500
Tc7 0.500 0.500 0.170
Tc8 0.500 0.500 0.830
N1 0.000 0.000 0.500
N2 0.500 0.500 0.000

DFT total energy   -8.67 eV per atom
E_form (uncorrected)   -6 meV per atom